# 1
First-principles (PBE-GGA) data for crystalline Rb2SrMnI6 at its relaxed geometry, as listed in the Alexandria database.

Calculated values
Uncorrected formation energy = -1209 meV per atom
DOS at the Fermi energy = 0.0 states/eV/cell
E_tot = -34.175 eV per cell

Cell lengths 8.6739, 8.6736, 8.4961 Å; angles 59.29, 59.30, 59.99 degrees
Element x y z (fractional)
1 Rb 0.5492 0.5493 0.3523
2 Rb 0.0831 0.0832 0.7504
3 Sr 0.8161 0.8162 0.5517
4 Mn 0.3161 0.3161 0.0515
5 I 0.5441 0.1567 0.2938
6 I 0.1565 0.0056 0.2939
7 I 0.0056 0.5443 0.2936
8 I 0.4758 0.6267 0.8091
9 I 0.6267 0.0880 0.8096
10 I 0.0883 0.4755 0.8094

# 2
First-principles (PBE-GGA) data for crystalline RbSrMn2I8 at its relaxed geometry, as listed in the Alexandria database.

Calculated values
Uncorrected formation energy = -850 meV per atom
DOS at the Fermi energy = 11.6 states/eV/cell
E_tot = -43.594 eV per cell

Cell lengths 7.6039, 7.6039, 11.0612 Å; angles 90.00, 90.00, 120.00 degrees
Element x y z (fractional)
1 Rb 0.0000 0.0000 0.0000
2 Sr 0.0000 0.0000 0.5000
3 Mn 0.6667 0.3333 0.2426
4 Mn 0.3333 0.6667 0.7574
5 I 0.3333 0.6667 0.9932
6 I 0.3361 0.3416 0.3128
7 I 0.6584 0.9945 0.3128
8 I 0.6667 0.3333 0.0068
9 I 0.3416 0.0055 0.6872
10 I 0.6639 0.6584 0.6872
11 I 0.9945 0.3361 0.6872
12 I 0.0055 0.6639 0.3128

# 3
First-principles (PBE-GGA) data for crystalline Rb2MnTcI6 at its relaxed geometry, as listed in the Alexandria database.

Calculated values
Uncorrected formation energy = -538 meV per atom
DOS at the Fermi energy = 5.4 states/eV/cell
E_tot = -36.156 eV per cell

Cell lengths 8.0972, 8.0972, 8.0993 Å; angles 60.01, 60.01, 90.00 degrees
Element x y z (fractional)
1 I 0.2462 0.2462 0.5077
2 I 0.7538 0.7538 0.4923
3 I 0.2461 0.2461 0.0000
4 I 0.7539 0.7539 0.0000
5 I 0.7539 0.2461 0.0000
6 I 0.2461 0.7539 0.0000
7 Mn 0.5000 0.5000 0.0000
8 Tc 0.0000 0.0000 0.0000
9 Rb 0.7500 0.2500 0.5000
10 Rb 0.2500 0.7500 0.5000

# 4
First-principles (PBE-GGA) data for crystalline RbMnTeI2 at its relaxed geometry, as listed in the Alexandria database.

Calculated values
Offset from the most stable computed form = 5.77 eV per formula unit
Uncorrected formation energy = 596 meV per atom
DOS at the Fermi energy = 5.8 states/eV/cell
E_tot = -13.401 eV per cell

Cell lengths 6.8167, 6.8167, 6.6409 Å; angles 90.00, 90.00, 90.00 degrees
Element x y z (fractional)
1 I 0.0000 0.5000 0.0000
2 I 0.5000 0.0000 0.0000
3 Mn 0.5000 0.5000 0.5000
4 Te 0.0000 0.0000 0.5000
5 Rb 0.0000 0.0000 0.0000

# 5
First-principles (PBE-GGA) data for crystalline RbMnTeI2 at its relaxed geometry, as listed in the Alexandria database.

Calculated values
Offset from the most stable computed form = 0.00 eV per formula unit
Uncorrected formation energy = -558 meV per atom
DOS at the Fermi energy = 4.5 states/eV/cell
E_tot = -19.168 eV per cell

Cell lengths 5.8814, 5.8814, 5.3482 Å; angles 90.00, 90.00, 90.00 degrees
Element x y z (fractional)
1 I 0.0000 0.5000 0.0000
2 I 0.5000 0.0000 0.0000
3 Mn 0.0000 0.0000 0.0000
4 Te 0.0000 0.0000 0.5000
5 Rb 0.5000 0.5000 0.5000

# 6
First-principles (PBE-GGA) data for crystalline Rb2TiMnI6 at its relaxed geometry, as listed in the Alexandria database.

Calculated values
Uncorrected formation energy = -811 meV per atom
DOS at the Fermi energy = 4.4 states/eV/cell
E_tot = -36.405 eV per cell

Cell lengths 8.2201, 8.2201, 8.1665 Å; angles 59.78, 59.78, 90.00 degrees
Element x y z (fractional)
1 I 0.2519 0.2519 0.4961
2 I 0.7481 0.7481 0.5039
3 I 0.2506 0.2506 0.0000
4 I 0.7494 0.7494 0.0000
5 I 0.7494 0.2506 0.0000
6 I 0.2506 0.7494 0.0000
7 Mn 0.0000 0.0000 0.0000
8 Rb 0.7500 0.2500 0.5000
9 Rb 0.2500 0.7500 0.5000
10 Ti 0.5000 0.5000 0.0000

# 7
First-principles (PBE-GGA) data for crystalline RbMnTl2I6 at its relaxed geometry, as listed in the Alexandria database.

Calculated values
Uncorrected formation energy = -668 meV per atom
DOS at the Fermi energy = 0.2 states/eV/cell
E_tot = -30.847 eV per cell

Cell lengths 8.4502, 9.5950, 9.1754 Å; angles 64.03, 51.54, 53.34 degrees
Element x y z (fractional)
1 Rb 0.7501 0.8085 0.7878
2 Mn 0.3561 0.4281 0.9328
3 Tl 0.5871 0.4306 0.3609
4 Tl 0.9949 0.0092 0.0203
5 I 0.4066 0.2628 0.2348
6 I 0.2268 0.8288 0.2931
7 I 0.9238 0.6465 0.1511
8 I 0.4372 0.7041 0.7061
9 I 0.7828 0.2120 0.7073
10 I 0.1962 0.3310 0.8210

# 8
First-principles (PBE-GGA) data for crystalline RbMnTlI4 at its relaxed geometry, as listed in the Alexandria database.

Calculated values
Uncorrected formation energy = -814 meV per atom
DOS at the Fermi energy = 0.0 states/eV/cell
E_tot = -48.810 eV per cell

Cell lengths 8.1032, 8.2292, 9.9691 Å; angles 90.00, 108.09, 90.00 degrees
Element x y z (fractional)
1 Rb 0.7837 0.7500 0.4508
2 Rb 0.2163 0.2500 0.5492
3 Mn 0.2253 0.7500 0.2909
4 Mn 0.7747 0.2500 0.7091
5 Tl 0.7460 0.7500 0.9372
6 Tl 0.2540 0.2500 0.0628
7 I 0.0007 0.5021 0.7766
8 I 0.9993 0.0021 0.2234
9 I 0.9993 0.4979 0.2234
10 I 0.0007 0.9979 0.7766
11 I 0.4251 0.7500 0.1213
12 I 0.5749 0.2500 0.8787
13 I 0.3889 0.7500 0.5701
14 I 0.6111 0.2500 0.4299

# 9
First-principles (PBE-GGA) data for crystalline Rb3MnTl3I8 at its relaxed geometry, as listed in the Alexandria database.

Calculated values
Uncorrected formation energy = -935 meV per atom
DOS at the Fermi energy = 0.0 states/eV/cell
E_tot = -45.604 eV per cell

Cell lengths 10.2763, 10.2759, 10.0384 Å; angles 120.78, 90.00, 120.00 degrees
Element x y z (fractional)
1 Rb 0.5000 0.0000 0.5000
2 Rb 0.5000 0.5000 0.5000
3 Rb 0.0000 0.5000 0.5000
4 Mn 0.0000 0.0000 0.5000
5 Tl 0.0000 0.0000 0.0000
6 Tl 0.0000 0.5000 0.0000
7 Tl 0.5000 0.5000 0.0000
8 I 0.2464 0.4927 0.2391
9 I 0.7536 0.5073 0.7609
10 I 0.7932 0.5865 0.2858
11 I 0.2068 0.4135 0.7142
12 I 0.7934 0.9926 0.2859
13 I 0.2066 0.0074 0.7141
14 I 0.1992 0.9926 0.2859
15 I 0.8008 0.0074 0.7141

# 10
First-principles (PBE-GGA) data for crystalline Rb2MnTlI6 at its relaxed geometry, as listed in the Alexandria database.

Calculated values
Offset from the most stable computed form = 0.00 eV per formula unit
Uncorrected formation energy = -849 meV per atom
DOS at the Fermi energy = 6.4 states/eV/cell
E_tot = -62.514 eV per cell

Cell lengths 8.3133, 8.7012, 12.0298 Å; angles 90.00, 90.26, 90.00 degrees
Element x y z (fractional)
1 Rb 0.0237 0.9260 0.2466
2 Rb 0.5237 0.5740 0.7466
3 Rb 0.9763 0.0740 0.7534
4 Rb 0.4763 0.4260 0.2534
5 Mn 0.5000 0.0000 0.5000
6 Mn 0.0000 0.5000 0.0000
7 Tl 0.5000 0.0000 0.0000
8 Tl 0.0000 0.5000 0.5000
9 I 0.2762 0.6771 0.0399
10 I 0.7762 0.8229 0.5399
11 I 0.7238 0.3229 0.9601
12 I 0.2238 0.1771 0.4601
13 I 0.3206 0.7246 0.4631
14 I 0.8206 0.7754 0.9631
15 I 0.6794 0.2754 0.5369
16 I 0.1794 0.2246 0.0369
17 I 0.9233 0.5062 0.2277
18 I 0.4233 0.9938 0.7277
19 I 0.0767 0.4938 0.7723
20 I 0.5767 0.0062 0.2723

# 11
First-principles (PBE-GGA) data for crystalline RbMn2TlI8 at its relaxed geometry, as listed in the Alexandria database.

Calculated values
Uncorrected formation energy = -536 meV per atom
DOS at the Fermi energy = 9.9 states/eV/cell
E_tot = -40.500 eV per cell

Cell lengths 7.5649, 7.5649, 11.0299 Å; angles 90.00, 90.00, 120.00 degrees
Element x y z (fractional)
1 Rb 0.0000 0.0000 0.0000
2 Mn 0.6667 0.3333 0.2337
3 Mn 0.3333 0.6667 0.7663
4 Tl 0.0000 0.0000 0.5000
5 I 0.3333 0.6667 0.0010
6 I 0.3400 0.3420 0.2993
7 I 0.6580 0.9980 0.2993
8 I 0.6667 0.3333 0.9990
9 I 0.3420 0.0020 0.7007
10 I 0.6600 0.6580 0.7007
11 I 0.9980 0.3400 0.7007
12 I 0.0020 0.6600 0.2993

# 12
First-principles (PBE-GGA) data for crystalline Rb2MnTlI6 at its relaxed geometry, as listed in the Alexandria database.

Calculated values
Offset from the most stable computed form = 0.19 eV per formula unit
Uncorrected formation energy = -829 meV per atom
DOS at the Fermi energy = 2.4 states/eV/cell
E_tot = -31.066 eV per cell

Cell lengths 8.5645, 8.5645, 8.5685 Å; angles 60.02, 60.02, 90.00 degrees
Element x y z (fractional)
1 I 0.2688 0.2688 0.4625
2 I 0.7312 0.7312 0.5375
3 I 0.2687 0.2687 0.0000
4 I 0.7313 0.7313 0.0000
5 I 0.7313 0.2687 0.0000
6 I 0.2687 0.7313 0.0000
7 Tl 0.0000 0.0000 0.0000
8 Mn 0.5000 0.5000 0.0000
9 Rb 0.7500 0.2500 0.5000
10 Rb 0.2500 0.7500 0.5000

# 13
First-principles (PBE-GGA) data for crystalline RbMn2TlI6 at its relaxed geometry, as listed in the Alexandria database.

Calculated values
Uncorrected formation energy = -692 meV per atom
DOS at the Fermi energy = 0.0 states/eV/cell
E_tot = -75.782 eV per cell

Cell lengths 10.8106, 10.8106, 8.4383 Å; angles 101.66, 101.66, 83.91 degrees
Element x y z (fractional)
1 Rb 0.1799 0.8201 0.2500
2 Rb 0.8201 0.1799 0.7500
3 Mn 0.2990 0.1228 0.7508
4 Mn 0.8772 0.7010 0.7492
5 Mn 0.7010 0.8772 0.2492
6 Mn 0.1228 0.2990 0.2508
7 Tl 0.6002 0.3998 0.2500
8 Tl 0.3998 0.6002 0.7500
9 I 0.8947 0.4019 0.1477
10 I 0.5981 0.1053 0.3523
11 I 0.1053 0.5981 0.8523
12 I 0.4019 0.8947 0.6477
13 I 0.1758 0.1004 0.0024
14 I 0.8996 0.8242 0.4976
15 I 0.8242 0.8996 0.9976
16 I 0.1004 0.1758 0.5024
17 I 0.2897 0.4754 0.3344
18 I 0.5246 0.7103 0.1656
19 I 0.7103 0.5246 0.6656
20 I 0.4754 0.2897 0.8344

# 14
First-principles (PBE-GGA) data for crystalline RbTmMnI6 at its relaxed geometry, as listed in the Alexandria database.

Calculated values
Uncorrected formation energy = -1085 meV per atom
DOS at the Fermi energy = 0.0 states/eV/cell
E_tot = -67.347 eV per cell

Cell lengths 7.6709, 7.6709, 16.5779 Å; angles 90.00, 90.00, 120.00 degrees
Element x y z (fractional)
1 Rb 0.0000 0.0000 0.0000
2 Rb 0.0000 0.0000 0.5000
3 Tm 0.3333 0.6667 0.2500
4 Tm 0.6667 0.3333 0.7500
5 Mn 0.6667 0.3333 0.2500
6 Mn 0.3333 0.6667 0.7500
7 I 0.6335 0.6252 0.1471
8 I 0.9917 0.3665 0.1471
9 I 0.3665 0.9917 0.6471
10 I 0.0083 0.6335 0.8529
11 I 0.3748 0.3665 0.3529
12 I 0.9917 0.6252 0.3529
13 I 0.6252 0.9917 0.8529
14 I 0.6335 0.0083 0.3529
15 I 0.0083 0.3748 0.6471
16 I 0.3748 0.0083 0.1471
17 I 0.6252 0.6335 0.6471
18 I 0.3665 0.3748 0.8529

# 15
First-principles (PBE-GGA) data for crystalline RbMnVI6 at its relaxed geometry, as listed in the Alexandria database.

Calculated values
Uncorrected formation energy = -660 meV per atom
DOS at the Fermi energy = 9.3 states/eV/cell
E_tot = -34.500 eV per cell

Cell lengths 7.3703, 7.3702, 8.3119 Å; angles 90.00, 90.00, 60.00 degrees
Element x y z (fractional)
1 Rb 0.0000 0.0000 0.0000
2 Mn 0.3333 0.3333 0.5000
3 V 0.6666 0.6667 0.5000
4 I 0.9903 0.3742 0.3068
5 I 0.3742 0.9904 0.6932
6 I 0.6354 0.3742 0.6932
7 I 0.9903 0.6355 0.6932
8 I 0.3742 0.6354 0.3068
9 I 0.6354 0.9903 0.3068

# 16
First-principles (PBE-GGA) data for crystalline Rb2MnVI6 at its relaxed geometry, as listed in the Alexandria database.

Calculated values
Uncorrected formation energy = -782 meV per atom
DOS at the Fermi energy = 0.0 states/eV/cell
E_tot = -37.348 eV per cell

Cell lengths 8.1616, 8.1616, 8.1621 Å; angles 60.00, 60.00, 90.00 degrees
Element x y z (fractional)
1 I 0.2508 0.2508 0.4984
2 I 0.7492 0.7492 0.5016
3 I 0.2507 0.2507 0.0000
4 I 0.7493 0.7493 0.0000
5 I 0.7493 0.2507 0.0000
6 I 0.2507 0.7493 0.0000
7 Mn 0.0000 0.0000 0.0000
8 Rb 0.7500 0.2500 0.5000
9 Rb 0.2500 0.7500 0.5000
10 V 0.5000 0.5000 0.0000

# 17
First-principles (PBE-GGA) data for crystalline Rb2MnWI6 at its relaxed geometry, as listed in the Alexandria database.

Calculated values
Uncorrected formation energy = -445 meV per atom
DOS at the Fermi energy = 4.8 states/eV/cell
E_tot = -37.805 eV per cell

Cell lengths 8.2174, 8.2174, 8.2191 Å; angles 60.01, 60.01, 90.00 degrees
Element x y z (fractional)
1 I 0.2455 0.2455 0.5091
2 I 0.7545 0.7545 0.4909
3 I 0.2456 0.2456 0.0000
4 I 0.7544 0.7544 0.0000
5 I 0.7544 0.2456 0.0000
6 I 0.2456 0.7544 0.0000
7 Mn 0.5000 0.5000 0.0000
8 Rb 0.7500 0.2500 0.5000
9 Rb 0.2500 0.7500 0.5000
10 W 0.0000 0.0000 0.0000

# 18
First-principles (PBE-GGA) data for crystalline Rb2YMnI6 at its relaxed geometry, as listed in the Alexandria database.

Calculated values
Uncorrected formation energy = -1046 meV per atom
DOS at the Fermi energy = 4.8 states/eV/cell
E_tot = -37.326 eV per cell

Cell lengths 8.4034, 8.4034, 8.4047 Å; angles 60.01, 60.01, 90.00 degrees
Element x y z (fractional)
1 I 0.2558 0.2558 0.4884
2 I 0.7442 0.7442 0.5116
3 I 0.2558 0.2558 0.0000
4 I 0.7442 0.7442 0.0000
5 I 0.7442 0.2558 0.0000
6 I 0.2558 0.7442 0.0000
7 Y 0.0000 0.0000 0.0000
8 Mn 0.5000 0.5000 0.0000
9 Rb 0.7500 0.2500 0.5000
10 Rb 0.2500 0.7500 0.5000

# 19
First-principles (PBE-GGA) data for crystalline RbMnZn2I8 at its relaxed geometry, as listed in the Alexandria database.

Calculated values
Uncorrected formation energy = -593 meV per atom
DOS at the Fermi energy = 4.8 states/eV/cell
E_tot = -32.206 eV per cell

Cell lengths 7.1572, 7.1572, 11.9675 Å; angles 72.60, 72.60, 60.00 degrees
Element x y z (fractional)
1 Rb 0.5000 0.5000 0.5000
2 Mn 0.0000 0.0000 0.0000
3 Zn 0.2609 0.2609 0.2174
4 Zn 0.7391 0.7391 0.7826
5 I 0.1841 0.1841 0.4476
6 I 0.6442 0.2766 0.1475
7 I 0.8159 0.8159 0.5524
8 I 0.9317 0.6442 0.1475
9 I 0.0683 0.3558 0.8525
10 I 0.2766 0.9317 0.1475
11 I 0.7234 0.0683 0.8525
12 I 0.3558 0.7234 0.8525

# 20
First-principles (PBE-GGA) data for crystalline RbMn2ZnI8 at its relaxed geometry, as listed in the Alexandria database.

Calculated values
Uncorrected formation energy = -537 meV per atom
DOS at the Fermi energy = 9.1 states/eV/cell
E_tot = -39.431 eV per cell

Cell lengths 7.3533, 7.3533, 10.3166 Å; angles 90.00, 90.00, 120.00 degrees
Element x y z (fractional)
1 Rb 0.0000 0.0000 0.0000
2 Mn 0.6667 0.3333 0.2630
3 Mn 0.3333 0.6667 0.7370
4 Zn 0.0000 0.0000 0.5000
5 I 0.3333 0.6667 0.9900
6 I 0.3112 0.3190 0.3338
7 I 0.6810 0.9922 0.3338
8 I 0.6667 0.3333 0.0100
9 I 0.3190 0.0078 0.6662
10 I 0.6888 0.6810 0.6662
11 I 0.9922 0.3112 0.6662
12 I 0.0078 0.6888 0.3338

# 21
First-principles (PBE-GGA) data for crystalline MnReI2 at its relaxed geometry, as listed in the Alexandria database.

Calculated values
Offset from the most stable computed form = 0.36 eV per formula unit
Uncorrected formation energy = 1515 meV per atom
DOS at the Fermi energy = 4.6 states/eV/cell
E_tot = -18.660 eV per cell

Cell lengths 4.7034, 4.7034, 4.7034 Å; angles 60.00, 60.00, 60.00 degrees
Element x y z (fractional)
1 I 0.2500 0.2500 0.2500
2 I 0.7500 0.7500 0.7500
3 Re 0.5000 0.5000 0.5000
4 Mn 0.0000 0.0000 0.0000